i | Entry from Alexandria: crystalline V5Fe at its relaxed geometry (PBE-GGA).

abc: 4.212 12.394 2.924
angles: 90.00 90.00 90.00
Fractional positions:
V  0.000  0.000  0.000
V  0.000  0.165  0.500
V  0.000  0.337  0.000
V  0.000  0.663  0.000
V  0.000  0.835  0.500
V  0.500  0.163  0.000
V  0.500  0.335  0.500
V  0.500  0.500  0.000
V  0.500  0.665  0.500
V  0.500  0.837  0.000
Fe  0.000  0.500  0.500
Fe  0.500  0.000  0.500

Summary:
Density   6.76 g/cm3
Space-group type   Cmmm, No. 65

***

ii | Entry from Alexandria: crystalline V5Fe at its relaxed geometry (PBE-GGA).

abc: 4.151 8.881 4.136
angles: 90.00 90.00 90.00
Fractional positions:
V  0.000  0.000  0.000
V  0.000  0.163  0.500
V  0.000  0.336  0.000
V  0.000  0.664  0.000
V  0.000  0.837  0.500
V  0.500  0.164  0.000
V  0.500  0.337  0.500
V  0.500  0.500  0.000
V  0.500  0.663  0.500
V  0.500  0.836  0.000
Fe  0.000  0.500  0.500
Fe  0.500  0.000  0.500

Summary:
Density   6.76 g/cm3
Space-group type   Cmmm, No. 65

***

Most stable to least stable: ii, i